(1)
VASP calculation (PBE-GGA) on an optimized crystal structure of MoRu3N.

## Properties
Total magnetization, μB/f.u.: 0.000
Energy above the most stable polymorph in this dataset, eV per atom: 0.000
Uncorrected energy, eV/atom: -9.0882
Theoretical density, kg/m³: 10494
Space-group type: Pm-3m (221)
Formation energy without anion corrections, meV/atom: 309

Cell and atoms, written as extended XYZ:
```
5
Lattice="-0.937 -2.921 2.612 2.368 -2.561 -2.015 3.121 1.067 2.313" Properties=species:S:1:pos:R:3 pbc="T T T"
Ru 1.184 -1.281 -1.007
Ru 1.561 0.533 1.156
Ru -0.468 -1.460 1.306
Mo 2.276 -2.208 1.455
N 0.000 0.000 0.000
```

(2)
VASP calculation (PBE-GGA) on an optimized crystal structure of Sb2MoRuN.

## Properties
Total magnetization, μB/f.u.: 3.908
Uncorrected energy, eV/atom: -5.4458
Theoretical density, kg/m³: 6063
Space-group type: P4/mmm (123)
Formation energy without anion corrections, meV/atom: 1890

Cell and atoms, written as extended XYZ:
```
5
Lattice="5.087 0.000 0.000 0.000 4.810 0.000 0.000 0.000 5.087" Properties=species:S:1:pos:R:3 pbc="T T T"
Sb 0.000 0.000 2.544
Sb 2.544 0.000 0.000
Mo 0.000 2.405 0.000
N 2.544 2.405 2.544
Ru 0.000 0.000 0.000
```

(3)
VASP calculation (PBE-GGA) on an optimized crystal structure of MoRuSe2N.

## Properties
Total magnetization, μB/f.u.: 2.820
Energy above the most stable polymorph in this dataset, eV per atom: 0.000
Uncorrected energy, eV/atom: -6.3710
Theoretical density, kg/m³: 6661
Space-group type: P4/mmm (123)
Formation energy without anion corrections, meV/atom: 709

Cell and atoms, written as extended XYZ:
```
5
Lattice="-4.960 0.471 -0.693 -0.552 -4.967 0.573 -0.456 0.463 3.576" Properties=species:S:1:pos:R:3 pbc="T T T"
Ru 0.000 0.000 0.000
Mo -2.984 -2.016 1.728
Se -0.276 -2.484 0.287
Se -2.480 0.235 -0.347
N -0.228 0.232 1.788
```

Q: Number 2 is which compound?
A: Sb2MoRuN

Q: Number 1 is which compound?
A: MoRu3N

Q: Which formula does entry 2 have?
A: Sb2MoRuN

Q: Among the records above, which one has the highest total magnetization?
A: Sb2MoRuN